No. 1
Compound: PaNb2Al
Source: Alexandria
Functional: PBE
Structure: optimized geometry

Cell and atoms, written as CIF:
```
data_PaNb2Al
_chemical_formula_sum 'Pa4 Nb8 Al4'
_cell_length_a 6.722
_cell_length_b 6.722
_cell_length_c 6.722
_cell_angle_alpha 90.00
_cell_angle_beta 90.00
_cell_angle_gamma 90.00
_symmetry_space_group_name_H-M 'F m -3 m'
_symmetry_Int_Tables_number 225
_symmetry_space_group_name_Hall '-F 4 2 3'
loop_
_atom_site_label
_atom_site_type_symbol
_atom_site_fract_x
_atom_site_fract_y
_atom_site_fract_z
Pa1 Pa 0.000 0.000 0.000
Nb1 Nb 0.250 0.250 0.250
Al1 Al 0.000 0.000 0.500
```

The value obtained for the energy above the lowest structure with this stoichiometry is 0.013 eV per atom. The value obtained for the calculated total energy is -8.45 eV/atom. The value obtained for the formation energy is -0.109 eV/atom.

***

No. 2
Compound: Hg2IrOs
Source: Alexandria
Functional: PBE
Structure: optimized geometry

Cell and atoms, written as CIF:
```
data_Hg2IrOs
_chemical_formula_sum 'Hg4 Ir2 Os2'
_cell_length_a 9.454
_cell_length_b 2.896
_cell_length_c 5.134
_cell_angle_alpha 90.00
_cell_angle_beta 99.79
_cell_angle_gamma 90.00
_symmetry_space_group_name_H-M 'C 1 2/m 1'
_symmetry_Int_Tables_number 12
_symmetry_space_group_name_Hall '-C 2y'
loop_
_atom_site_label
_atom_site_type_symbol
_atom_site_fract_x
_atom_site_fract_y
_atom_site_fract_z
Hg1 Hg 0.250 0.000 0.250
Ir1 Ir 0.000 0.000 0.500
Os1 Os 0.000 0.500 0.000
```

The value obtained for the energy above the lowest structure with this stoichiometry is 0.353 eV per atom. The value obtained for the calculated total energy is -4.40 eV/atom. The value obtained for the formation energy is 0.774 eV/atom.

***

No. 3
Compound: CsNbTeI2
Source: Alexandria
Functional: PBE
Structure: optimized geometry

Cell and atoms, written as CIF:
```
data_CsNbTeI2
_chemical_formula_sum 'Cs1 Nb1 Te1 I2'
_cell_length_a 6.694
_cell_length_b 6.694
_cell_length_c 6.161
_cell_angle_alpha 90.00
_cell_angle_beta 90.00
_cell_angle_gamma 90.00
_symmetry_space_group_name_H-M 'P 4/m m m'
_symmetry_Int_Tables_number 123
_symmetry_space_group_name_Hall '-P 4 2'
loop_
_atom_site_label
_atom_site_type_symbol
_atom_site_fract_x
_atom_site_fract_y
_atom_site_fract_z
Cs1 Cs 0.000 0.000 0.000
Nb1 Nb 0.500 0.500 0.500
Te1 Te 0.000 0.000 0.500
I1 I 0.000 0.500 0.000
```

The value obtained for the energy above the lowest structure with this stoichiometry is 1.726 eV per atom. The value obtained for the calculated total energy is -2.26 eV/atom. For the energy relative to the elements, uncorrected, the calculation gives 1.17 eV per atom.

***

no.,DOS at the Fermi energy (states/eV/f.u.)
1,3.53
2,3.80
3,11.82